4
Lattice="-0.560 0.824 2.475 -3.191 -3.305 0.378 3.829 -3.606 0.798" Properties=species:S:1:pos:R:3 comment="Mg2TcMo meta-GGA SCAN PBEsol geometry" vol_a3_per_atom=15.95 dft_energy_ev_per_atom=-19.7234 formation_energy_ev_per_atom=0.2498 space_group="No. 10" dos_ef_per_ev_atom=0.57 magmom_total_mub_per_atom=0.0000 pbc="T T T"
Tc 0.039 -3.043 1.825
Mo -1.876 -1.240 1.427
Mg 0.954 -0.889 0.283
Mg 2.315 -1.893 2.990